Compound: RbPCl2
Source: the Alexandria database
Functional: PBEsol
Structure: optimized geometry

Unit cell a=7.349 b=7.349 c=7.349 alpha=90.00 beta=90.00 gamma=90.00
Space group Fm-3m (No. 225)
Symmetry-distinct sites (fractional):
Rb 0.000 0.000 0.000 [4 per cell]
P 0.000 0.000 0.500 [4 per cell]
Cl 0.250 0.250 0.250 [8 per cell]

- Density: 3.1 g cm⁻³
- Raw formation energy: -0.196 eV per atom
- Fermi-level density of states: 1.391 states/eV/atom